The following is a GGA-PBE calculation of SrAu2Br after structural relaxation, from Alexandria.

Lattice parameters (Å, degrees): 9.1260 9.1260 7.0427 49.62 49.62 90.00
Last column: nearest neighbours and their distance in Å.
Positions (direct):
Sr1 0.0000 0.0000 0.0000  2 Br 2.82
Sr2 0.7500 0.2500 0.5000  2 Br 2.82
Au1 0.3750 0.3780 0.7500  2 Au 2.82
Au2 0.6220 0.1250 0.2500  2 Au 2.82
Au3 0.1280 0.6250 0.2500  2 Au 2.82
Au4 0.8750 0.8720 0.7500  2 Au 2.82
Br1 0.2500 0.7500 0.5000  2 Sr 2.82
Br2 0.5000 0.5000 0.0000  2 Sr 2.82

Output
Mass density ... 7.94 g/cm3
Electronic total energy ... -3.129 eV/atom
SG ... No. 122
ΔE_f (raw) ... -2.61 eV/f.u.
N(E_F) ... 0.92 states/eV/f.u.

The following is a GGA-PBE calculation of Sr2AuBr after structural relaxation, from Alexandria.

Lattice parameters (Å, degrees): 10.2493 10.2493 10.2493 25.22 25.22 25.22
Last column: nearest neighbours and their distance in Å.
Positions (direct):
Au1 0.5085 0.5085 0.5085  3 Sr 3.07
Sr1 0.2311 0.2311 0.2311  3 Au 3.07
Sr2 0.0190 0.0190 0.0190  3 Br 3.07
Br1 0.7414 0.7414 0.7414  3 Sr 3.07

Output
Mass density ... 4.36 g/cm3
Electronic total energy ... -2.910 eV/atom
SG ... No. 160
ΔE_f (raw) ... -3.32 eV/f.u.
N(E_F) ... 0.62 states/eV/f.u.

The following is a GGA-PBE calculation of Sr2AuBr after structural relaxation, from Alexandria.

Lattice parameters (Å, degrees): 5.6925 5.6925 5.6925 60.00 60.00 60.00
Last column: nearest neighbours and their distance in Å.
Positions (direct):
Sr1 0.0000 0.0000 0.0000  4 Sr 3.49, 4 Br 3.49
Sr2 0.2500 0.2500 0.2500  4 Au 3.49, 4 Sr 3.49
Br1 0.7500 0.7500 0.7500  4 Sr 3.49, 4 Au 3.49
Au1 0.5000 0.5000 0.5000  4 Br 3.49, 4 Sr 3.49

Output
Mass density ... 5.76 g/cm3
Electronic total energy ... -2.484 eV/atom
SG ... No. 216
ΔE_f (raw) ... -1.62 eV/f.u.
N(E_F) ... 0.35 states/eV/f.u.

Going through the records in order, we get energy above the lowest structure with this stoichiometry values of 1.014, 1.348, 3.050 eV/f.u..